## USbSe4 (GGA-PBE)

Data for USbSe4 after structural relaxation.

Uncorrected formation energy in eV per atom: -0.546
M_tot in μB per atom: 0.17
VASP energy in eV per atom: -5.438
Energy above the most stable polymorph in this dataset in eV/atom: 0.169
D(E_F) in states/eV/f.u.: 4.31

a b c (Å): 6.9906 6.9007 6.8900
angles (deg): 90.00 91.15 90.00
Space group P2_1/c (No. 14)
Symmetry-distinct sites (fractional):
U1 0.0000 0.0000 0.0000 (multiplicity 2)
Sb1 0.5000 0.0000 0.5000 (multiplicity 2)
Se1 0.1526 0.1603 0.3438 (multiplicity 4)
Se2 0.3361 0.6457 0.3515 (multiplicity 4)